DFT (PBE) results for a relaxed structure of TbDy2Tm5Th.

Lattice parameters (Å, degrees): 5.6346 11.0038 9.6433 90.00 90.00 104.83
Fractional coordinates of all 18 atoms:
Dy  0.8857  0.7713  0.8279
Tm  0.3972  0.7945  0.0399
Tb  0.1919  0.3838  0.0180
Tm  0.7301  0.4602  0.8277
Tm  0.6941  0.3881  0.2178
Tm  0.9855  0.9710  0.5191
Tm  0.2699  0.5398  0.3277
Th  0.5947  0.1893  0.9227
Tm  0.5303  0.0607  0.2403
Tm  0.3059  0.6119  0.7178
Tm  0.4697  0.9393  0.7403
Tb  0.8081  0.6162  0.5180
Tm  0.0145  0.0290  0.0191
Dy  0.1143  0.2287  0.3279
Dy  0.1308  0.2616  0.7105
Th  0.4053  0.8107  0.4227
Tm  0.6028  0.2055  0.5399
Dy  0.8692  0.7384  0.2105

Symmetry: Cmc2_1, No. 36
ΔH_f (0 K): 0.17 eV per atom

***

DFT (PBE) results for a relaxed structure of Ac2Pr12Er5.

Lattice parameters (Å, degrees): 11.8240 8.9220 9.6556 70.15 90.00 131.50
Fractional coordinates of all 19 atoms:
Pr  0.8266  0.2209  0.5747
Ac  0.7326  0.0000  0.0000
Er  0.6951  0.3901  0.7556
Pr  0.0530  0.6219  0.7990
Pr  0.5770  0.1539  0.2222
Pr  0.8747  0.7495  0.9417
Er  0.8099  0.6197  0.3328
Pr  0.5689  0.6219  0.7990
Pr  0.3943  0.2209  0.5747
Pr  0.1253  0.2505  0.0583
Er  0.0000  0.0000  0.5000
Ac  0.2674  0.0000  0.0000
Pr  0.9470  0.3781  0.2010
Er  0.3049  0.6099  0.2444
Er  0.1901  0.3803  0.6672
Pr  0.4230  0.8461  0.7778
Pr  0.1734  0.7791  0.4253
Pr  0.6057  0.7791  0.4253
Pr  0.4311  0.3781  0.2010

Symmetry: C2/m, No. 12
ΔH_f (0 K): 0.11 eV per atom

***

DFT (PBE) results for a relaxed structure of K2Zn4Au5.

Lattice parameters (Å, degrees): 6.1840 6.0929 8.3418 79.16 68.24 59.50
Fractional coordinates of all 11 atoms:
Zn  0.4664  0.3231  0.7442
Zn  0.7895  0.6769  0.7442
K  0.1318  0.0000  0.7365
K  0.8682  0.0000  0.2635
Zn  0.5336  0.6769  0.2558
Au  0.2500  0.5000  0.5000
Au  0.7500  0.5000  0.5000
Au  0.0000  0.5000  0.0000
Zn  0.2105  0.3231  0.2558
Au  0.5000  0.0000  0.0000
Au  0.5000  0.5000  0.0000

Symmetry: Fmmm, No. 69
Energy relative to the lowest polymorph listed for this composition: 0 meV per atom
ΔH_f (0 K): -0.23 eV per atom

***

DFT (PBE) results for a relaxed structure of PmGdLuZn.

Lattice parameters (Å, degrees): 5.3537 5.3537 5.3537 60.00 60.00 60.00
Fractional coordinates of all 4 atoms:
Lu  0.2500  0.2500  0.2500
Zn  0.7500  0.7500  0.7500
Gd  0.0000  0.0000  0.0000
Pm  0.5000  0.5000  0.5000

Symmetry: F-43m, No. 216
ΔH_f (0 K): 0.00 eV per atom

***

DFT (PBE) results for a relaxed structure of Co2MoP.

Lattice parameters (Å, degrees): 3.7779 2.7240 4.8343 76.31 90.00 90.00
Fractional coordinates of all 4 atoms:
Co  0.0000  0.6339  0.5137
Mo  0.5000  0.2500  0.2500
P  0.5000  0.7500  0.7500
Co  0.0000  0.8661  0.9863

Symmetry: P2/m, No. 10
ΔH_f (0 K): -0.16 eV per atom

***

DFT (PBE) results for a relaxed structure of Pm2Sm3In3.

Lattice parameters (Å, degrees): 4.5016 5.0100 10.9680 103.20 101.84 90.00
Fractional coordinates of all 8 atoms:
In  0.0000  0.5000  0.0000
Sm  0.6187  0.6187  0.2374
In  0.1238  0.1238  0.2477
Pm  0.2630  0.7630  0.5260
Sm  0.3813  0.3813  0.7626
Pm  0.7370  0.2370  0.4740
In  0.8762  0.8762  0.7523
Sm  0.5000  0.0000  0.0000

Symmetry: Immm, No. 71
ΔH_f (0 K): -0.36 eV per atom

***

DFT (PBE) results for a relaxed structure of Y5Mg4Zr.

Lattice parameters (Å, degrees): 3.5877 3.5877 21.4418 90.00 90.00 90.00
Fractional coordinates of all 10 atoms:
Y  0.5000  0.5000  0.6931
Y  0.5000  0.5000  0.1021
Y  0.5000  0.5000  0.5000
Y  0.5000  0.5000  0.3069
Zr  0.0000  0.0000  0.0000
Mg  0.0000  0.0000  0.4035
Mg  0.0000  0.0000  0.5965
Mg  0.0000  0.0000  0.2072
Mg  0.0000  0.0000  0.7928
Y  0.5000  0.5000  0.8979

Symmetry: P4/mmm, No. 123
ΔH_f (0 K): -0.05 eV per atom

***

DFT (PBE) results for a relaxed structure of LaTbZnCo.

Lattice parameters (Å, degrees): 5.0194 5.0194 5.0194 60.00 60.00 60.00
Fractional coordinates of all 4 atoms:
La  0.2500  0.2500  0.2500
Co  0.5000  0.5000  0.5000
Zn  0.0000  0.0000  0.0000
Tb  0.7500  0.7500  0.7500

Symmetry: F-43m, No. 216
ΔH_f (0 K): -0.15 eV per atom

***

DFT (PBE) results for a relaxed structure of Ce2PmPr.

Lattice parameters (Å, degrees): 3.5155 3.5155 10.3550 90.00 90.00 90.00
Fractional coordinates of all 4 atoms:
Ce  0.0000  0.0000  0.2483
Pm  0.5000  0.5000  0.0000
Ce  0.0000  0.0000  0.7517
Pr  0.5000  0.5000  0.5000

Symmetry: P4/mmm, No. 123
Energy relative to the lowest polymorph listed for this composition: 5 meV per atom
ΔH_f (0 K): 0.12 eV per atom

***

DFT (PBE) results for a relaxed structure of SnPHS.

Lattice parameters (Å, degrees): 4.8145 4.2337 9.4398 90.00 109.06 90.00
Fractional coordinates of all 8 atoms:
P  0.4606  0.0000  0.9964
H  0.1931  0.0000  0.8725
S  0.2830  0.0000  0.1713
Sn  0.7396  0.0000  0.4204
P  0.4606  0.5000  0.4964
H  0.1931  0.5000  0.3725
Sn  0.7396  0.5000  0.9204
S  0.2830  0.5000  0.6713

Symmetry: Cm, No. 8
Energy relative to the lowest polymorph listed for this composition: 40 meV per atom

***

DFT (PBE) results for a relaxed structure of ErCuTe2.

Lattice parameters (Å, degrees): 4.4049 4.4049 8.6588 75.32 59.63 60.00
Fractional coordinates of all 4 atoms:
Cu  0.5597  0.6209  0.9870
Er  0.4087  0.2879  0.8032
Te  0.7893  0.9542  0.0912
Te  0.9467  0.6215  0.5971

Symmetry: P1, No. 1
Energy: -4.595 eV per atom

***

DFT (PBE) results for a relaxed structure of Ca4ScPt.

Lattice parameters (Å, degrees): 6.3939 6.3939 6.3939 60.00 60.00 60.00
Fractional coordinates of all 6 atoms:
Ca  0.8742  0.3753  0.3753
Ca  0.3753  0.3753  0.8742
Ca  0.3753  0.8742  0.3753
Ca  0.3753  0.3753  0.3753
Pt  0.7500  0.7500  0.7500
Sc  0.0000  0.0000  0.0000

Symmetry: F-43m, No. 216
ΔH_f (0 K): 0.52 eV per atom

***

DFT (PBE) results for a relaxed structure of ErLu2Cd.

Lattice parameters (Å, degrees): 4.7671 4.7702 4.7702 90.00 90.00 90.00
Fractional coordinates of all 4 atoms:
Er  0.5000  0.5000  0.5000
Lu  0.0000  0.0000  0.5000
Cd  0.5000  0.0000  0.0000
Lu  0.0000  0.5000  0.0000

Symmetry: P4/mmm, No. 123
Energy relative to the lowest polymorph listed for this composition: 58 meV per atom
ΔH_f (0 K): -0.08 eV per atom

***

DFT (PBE) results for a relaxed structure of Er3URu6.

Lattice parameters (Å, degrees): 6.7882 6.7882 6.7882 60.00 60.00 60.00
Fractional coordinates of all 10 atoms:
Ru  0.2427  0.7573  0.2427
Er  0.7500  0.7500  0.7500
Ru  0.7573  0.7573  0.2427
U  0.0000  0.0000  0.0000
Ru  0.2427  0.7573  0.7573
Ru  0.2427  0.2427  0.7573
Ru  0.7573  0.2427  0.7573
Er  0.5000  0.5000  0.5000
Ru  0.7573  0.2427  0.2427
Er  0.2500  0.2500  0.2500

Symmetry: Fm-3m, No. 225
ΔH_f (0 K): 0.65 eV per atom

***

DFT (PBE) results for a relaxed structure of LiZrGaCl6.

Lattice parameters (Å, degrees): 6.6188 6.6188 13.0569 90.00 90.00 120.00
Fractional coordinates of all 18 atoms:
Cl  0.3732  0.0113  0.1401
Cl  0.6381  0.0113  0.3599
Zr  0.6667  0.3333  0.2500
Ga  0.0000  0.0000  0.5000
Li  0.3333  0.6667  0.2500
Zr  0.3333  0.6667  0.7500
Cl  0.3619  0.3732  0.8599
Ga  0.0000  0.0000  0.0000
Cl  0.9887  0.6268  0.3599
Cl  0.6268  0.9887  0.8599
Cl  0.0113  0.3732  0.6401
Cl  0.6381  0.6268  0.1401
Cl  0.9887  0.3619  0.1401
Cl  0.3732  0.3619  0.3599
Cl  0.0113  0.6381  0.8599
Li  0.6667  0.3333  0.7500
Cl  0.3619  0.9887  0.6401
Cl  0.6268  0.6381  0.6401

Symmetry: P-31c, No. 163
Energy: -4.299 eV per atom

***

DFT (PBE) results for a relaxed structure of CuReP2.

Lattice parameters (Å, degrees): 3.0437 3.6977 4.8402 90.00 90.00 90.00
Fractional coordinates of all 4 atoms:
P  0.5000  0.5000  0.3001
P  0.0000  0.0000  0.9455
Cu  0.5000  0.5000  0.8039
Re  0.0000  0.0000  0.4505

Symmetry: Pmm2, No. 25
Energy relative to the lowest polymorph listed for this composition: 184 meV per atom
ΔH_f (0 K): 0.13 eV per atom

***

DFT (PBE) results for a relaxed structure of Be2CrHgPt.

Lattice parameters (Å, degrees): 4.2610 4.7561 4.2610 90.00 90.00 90.00
Fractional coordinates of all 5 atoms:
Cr  0.0000  0.5000  0.0000
Be  0.5000  0.0000  0.0000
Be  0.0000  0.0000  0.5000
Hg  0.5000  0.5000  0.5000
Pt  0.0000  0.0000  0.0000

Symmetry: P4/mmm, No. 123
ΔH_f (0 K): 0.65 eV per atom

***

DFT (PBE) results for a relaxed structure of Rb2TlAs.

Lattice parameters (Å, degrees): 5.2799 5.2799 12.3435 77.65 77.65 90.00
Fractional coordinates of all 8 atoms:
Tl  0.7500  0.2500  0.5000
As  0.5000  0.5000  0.0000
Rb  0.1402  0.6250  0.2500
As  0.2500  0.7500  0.5000
Rb  0.8750  0.8598  0.7500
Rb  0.6098  0.1250  0.2500
Tl  0.0000  0.0000  0.0000
Rb  0.3750  0.3902  0.7500

Symmetry: I-42d, No. 122
Energy relative to the lowest polymorph listed for this composition: 489 meV per atom
ΔH_f (0 K): 0.19 eV per atom

***

DFT (PBE) results for a relaxed structure of AgPd12Pt7.

Lattice parameters (Å, degrees): 8.1150 8.1150 8.1150 109.47 109.47 109.47
Fractional coordinates of all 20 atoms:
Pd  0.7334  0.1432  0.8766
Pd  0.2666  0.1432  0.4097
Pd  0.5903  0.7334  0.8568
Pd  0.7334  0.8568  0.5903
Pd  0.8568  0.1234  0.2666
Pd  0.1432  0.4097  0.2666
Pd  0.8766  0.7334  0.1432
Pd  0.4097  0.2666  0.1432
Pd  0.8568  0.5903  0.7334
Pt  0.0000  0.5000  0.5000
Pt  0.0000  0.0000  0.5000
Pt  0.5000  0.5000  0.5000
Ag  0.0000  0.0000  0.0000
Pd  0.2666  0.8568  0.1234
Pd  0.1432  0.8766  0.7334
Pt  0.0000  0.5000  0.0000
Pt  0.5000  0.5000  0.0000
Pt  0.5000  0.0000  0.0000
Pt  0.5000  0.0000  0.5000
Pd  0.1234  0.2666  0.8568

Symmetry: Im-3, No. 204
ΔH_f (0 K): 0.67 eV per atom

***

DFT (PBE) results for a relaxed structure of BiTe2O.

Lattice parameters (Å, degrees): 5.1334 5.1334 5.1334 60.00 60.00 60.00
Fractional coordinates of all 4 atoms:
O  0.0000  0.0000  0.0000
Te  0.7500  0.7500  0.7500
Bi  0.5000  0.5000  0.5000
Te  0.2500  0.2500  0.2500

Symmetry: Fm-3m, No. 225
Energy relative to the lowest polymorph listed for this composition: 496 meV per atom

***

DFT (PBE) results for a relaxed structure of SiHgOF2.

Lattice parameters (Å, degrees): 4.4123 4.4123 3.3609 90.00 90.00 90.00
Fractional coordinates of all 5 atoms:
Si  0.0000  0.0000  0.0000
F  0.0000  0.5000  0.0000
O  0.0000  0.0000  0.5000
F  0.5000  0.0000  0.0000
Hg  0.5000  0.5000  0.5000

Symmetry: P4/mmm, No. 123
Energy relative to the lowest polymorph listed for this composition: 0 meV per atom

***

DFT (PBE) results for a relaxed structure of PmTl2Cu.

Lattice parameters (Å, degrees): 4.6144 4.6144 6.0175 67.45 67.45 60.00
Fractional coordinates of all 4 atoms:
Tl  0.7764  0.7764  0.6709
Tl  0.2236  0.2236  0.3291
Pm  0.0000  0.0000  0.0000
Cu  0.5000  0.5000  0.5000

Symmetry: R-3m, No. 166
Energy relative to the lowest polymorph listed for this composition: 126 meV per atom
ΔH_f (0 K): -0.10 eV per atom

***

DFT (PBE) results for a relaxed structure of Nb2ZnBr.

Lattice parameters (Å, degrees): 4.6051 4.6051 4.6051 60.00 60.00 60.00
Fractional coordinates of all 4 atoms:
Zn  0.0000  0.0000  0.0000
Nb  0.2500  0.2500  0.2500
Br  0.5000  0.5000  0.5000
Nb  0.7500  0.7500  0.7500

Symmetry: Fm-3m, No. 225
Energy relative to the lowest polymorph listed for this composition: 0 meV per atom

***

DFT (PBE) results for a relaxed structure of Cs2RbPbF6.

Lattice parameters (Å, degrees): 7.0087 7.0087 7.0087 60.00 60.00 60.00
Fractional coordinates of all 10 atoms:
F  0.2288  0.7712  0.7712
Rb  0.5000  0.5000  0.5000
F  0.7712  0.2288  0.2288
Cs  0.7500  0.7500  0.7500
Pb  0.0000  0.0000  0.0000
F  0.7712  0.7712  0.2288
F  0.2288  0.7712  0.2288
Cs  0.2500  0.2500  0.2500
F  0.7712  0.2288  0.7712
F  0.2288  0.2288  0.7712

Symmetry: Fm-3m, No. 225
Energy relative to the lowest polymorph listed for this composition: 5 meV per atom

***

| no. | theoretical density (g/cm³) |
| --- | --- |
| 1 | 8.97 |
| 2 | 7.28 |
| 3 | 8.74 |
| 4 | 8.30 |
| 5 | 8.41 |
| 6 | 7.66 |
| 7 | 3.81 |
| 8 | 7.84 |
| 9 | 7.35 |
| 10 | 3.34 |
| 11 | 6.43 |
| 12 | 3.60 |
| 13 | 9.64 |
| 14 | 10.11 |
| 15 | 2.55 |
| 16 | 9.50 |
| 17 | 8.96 |
| 18 | 4.56 |
| 19 | 11.10 |
| 20 | 8.34 |
| 21 | 7.17 |
| 22 | 10.30 |
| 23 | 7.96 |
| 24 | 4.59 |